A plane-wave DFT calculation with PBE was carried out for a geometry-optimized KP structure.

Output
The volume is 47.3 Å³/atom. The value obtained for the formation energy is 1.36 eV per formula unit. The density of states at the Fermi level comes out at 2.7 states/eV/cell. For the total magnetization, the calculation gives 4.00 μB/cell. Its offset from the most stable computed form is 1099.6 meV per atom.

a = 5.724 Å, b = 5.724 Å, c = 6.663 Å
α = 90.00°, β = 90.00°, γ = 120.00°
Last column: magnetic moment on the atom in μB.
Element x y z (fractional)
1 K 0.333 0.667 0.750  0.03
2 K 0.667 0.333 0.250  0.03
3 P 0.333 0.667 0.250  0.78
4 P 0.667 0.333 0.750  0.78

***

A plane-wave DFT calculation with PBE was carried out for a geometry-optimized KP structure.

Output
The volume is 37.5 Å³/atom. The value obtained for the formation energy is 1.22 eV per formula unit. The density of states at the Fermi level comes out at 1.3 states/eV/cell. For the total magnetization, the calculation gives 4.00 μB/cell. Its offset from the most stable computed form is 1028.5 meV per atom.

a = 4.540 Å, b = 4.540 Å, c = 8.406 Å
α = 90.00°, β = 90.00°, γ = 120.00°
Last column: magnetic moment on the atom in μB.
Element x y z (fractional)
1 K 0.000 0.000 0.000  0.03
2 K 0.000 0.000 0.500  0.03
3 P 0.333 0.667 0.250  0.80
4 P 0.667 0.333 0.750  0.80

***

A plane-wave DFT calculation with PBE was carried out for a geometry-optimized KP structure.

Output
The volume is 35.6 Å³/atom. The value obtained for the formation energy is -0.20 eV per formula unit. The density of states at the Fermi level comes out at 3.0 states/eV/cell. For the total magnetization, the calculation gives 0.00 μB/cell. Its offset from the most stable computed form is 319.8 meV per atom.

a = 4.267 Å, b = 4.267 Å, c = 18.087 Å
α = 90.00°, β = 90.00°, γ = 120.00°
Element x y z (fractional)
1 K 0.333 0.667 0.122
2 K 0.667 0.333 0.622
3 K 0.667 0.333 0.878
4 K 0.333 0.667 0.378
5 P 0.000 0.000 0.250
6 P 0.000 0.000 0.750
7 P 0.333 0.667 0.750
8 P 0.667 0.333 0.250

***

A plane-wave DFT calculation with PBE was carried out for a geometry-optimized K4P5 structure.

Output
The volume is 43.4 Å³/atom. The value obtained for the formation energy is -0.03 eV per formula unit. The density of states at the Fermi level comes out at 5.8 states/eV/cell. For the total magnetization, the calculation gives 1.25 μB/cell. Its offset from the most stable computed form is 0.0 meV per atom.

a = 10.855 Å, b = 10.855 Å, c = 10.855 Å
α = 91.40°, β = 91.40°, γ = 162.00°
Last column: magnetic moment on the atom in μB.
Element x y z (fractional)
1 K 0.198 0.000 0.198  0.01
2 K 0.802 0.000 0.802  0.01
3 K 0.000 0.802 0.802  0.01
4 K 0.000 0.198 0.198  0.01
5 P 0.000 0.000 0.000  0.13
6 P 0.218 0.782 0.000  0.08
7 P 0.782 0.218 0.000  0.08
8 P 0.782 0.782 0.564  0.08
9 P 0.218 0.218 0.436  0.08

***

A plane-wave DFT calculation with PBE was carried out for a geometry-optimized KP structure.

Output
The volume is 35.8 Å³/atom. The value obtained for the formation energy is -0.58 eV per formula unit. The density of states at the Fermi level comes out at 5.0 states/eV/cell. For the total magnetization, the calculation gives 0.00 μB/cell. Its offset from the most stable computed form is 128.5 meV per atom.

a = 11.861 Å, b = 11.861 Å, c = 4.075 Å
α = 90.00°, β = 90.00°, γ = 90.00°
Element x y z (fractional)
1 K 0.500 0.256 0.000
2 K 0.500 0.744 0.000
3 K 0.744 0.500 0.000
4 K 0.256 0.500 0.000
5 K 0.000 0.756 0.500
6 K 0.000 0.244 0.500
7 K 0.244 0.000 0.500
8 K 0.756 0.000 0.500
9 P 0.218 0.781 0.000
10 P 0.782 0.219 0.000
11 P 0.219 0.218 0.000
12 P 0.781 0.782 0.000
13 P 0.718 0.281 0.500
14 P 0.282 0.719 0.500
15 P 0.719 0.718 0.500
16 P 0.281 0.282 0.500

***

A plane-wave DFT calculation with PBE was carried out for a geometry-optimized KP structure.

Output
The volume is 65.4 Å³/atom. The value obtained for the formation energy is 1.55 eV per formula unit. The density of states at the Fermi level comes out at 12.0 states/eV/cell. For the total magnetization, the calculation gives 12.00 μB/cell. Its offset from the most stable computed form is 1195.8 meV per atom.

a = 9.226 Å, b = 9.226 Å, c = 9.226 Å
α = 90.00°, β = 90.00°, γ = 90.00°
Last column: magnetic moment on the atom in μB.
Element x y z (fractional)
1 K 0.250 0.000 0.500  0.03
2 K 0.750 0.000 0.500  0.03
3 K 0.000 0.500 0.250  0.03
4 K 0.000 0.500 0.750  0.03
5 K 0.500 0.250 0.000  0.03
6 K 0.500 0.750 0.000  0.03
7 P 0.250 0.500 0.000  0.77
8 P 0.750 0.500 0.000  0.77
9 P 0.500 0.000 0.250  0.77
10 P 0.500 0.000 0.750  0.77
11 P 0.000 0.250 0.500  0.77
12 P 0.000 0.750 0.500  0.77

***

A plane-wave DFT calculation with PBE was carried out for a geometry-optimized K7P6 structure.

Output
The volume is 42.8 Å³/atom. The value obtained for the formation energy is 0.91 eV per formula unit. The density of states at the Fermi level comes out at 13.8 states/eV/cell. For the total magnetization, the calculation gives 2.24 μB/cell.

a = 9.471 Å, b = 9.471 Å, c = 9.471 Å
α = 56.83°, β = 56.83°, γ = 56.83°
Last column: magnetic moment on the atom in μB.
Element x y z (fractional)
1 P 0.933 0.933 0.933  0.14
2 P 0.067 0.067 0.067  0.14
3 P 0.849 0.849 0.849  0.11
4 P 0.151 0.151 0.151  0.11
5 P 0.636 0.636 0.636  0.15
6 P 0.364 0.364 0.364  0.15
7 K 0.403 0.982 0.403  0.01
8 K 0.982 0.403 0.403  0.01
9 K 0.403 0.403 0.982  0.01
10 K 0.597 0.018 0.597  0.01
11 K 0.597 0.597 0.018  0.01
12 K 0.018 0.597 0.597  0.01
13 K 0.500 0.500 0.500  0.00

***

A plane-wave DFT calculation with PBE was carried out for a geometry-optimized K3P structure.

Output
The volume is 33.3 Å³/atom. The value obtained for the formation energy is -0.29 eV per formula unit. The density of states at the Fermi level comes out at 7.7 states/eV/cell. For the total magnetization, the calculation gives 0.00 μB/cell.

a = 10.042 Å, b = 10.042 Å, c = 10.042 Å
α = 149.08°, β = 149.08°, γ = 44.29°
Element x y z (fractional)
1 K 0.000 0.500 0.500
2 K 0.500 0.000 0.500
3 K 0.750 0.250 0.500
4 K 0.250 0.750 0.500
5 K 0.860 0.860 0.000
6 K 0.140 0.140 0.000
7 P 0.636 0.636 0.000
8 P 0.364 0.364 0.000

***

A plane-wave DFT calculation with PBE was carried out for a geometry-optimized KP structure.

Output
The volume is 39.9 Å³/atom. The value obtained for the formation energy is -0.35 eV per formula unit. The density of states at the Fermi level comes out at 4.1 states/eV/cell. For the total magnetization, the calculation gives 4.00 μB/cell. Its offset from the most stable computed form is 242.9 meV per atom.

a = 7.121 Å, b = 7.121 Å, c = 6.302 Å
α = 90.00°, β = 90.00°, γ = 90.00°
Last column: magnetic moment on the atom in μB.
Element x y z (fractional)
1 K 0.195 0.195 0.000  0.03
2 K 0.695 0.305 0.500  0.03
3 K 0.305 0.695 0.500  0.03
4 K 0.805 0.805 0.000  0.03
5 P 0.396 0.604 0.000  0.34
6 P 0.896 0.896 0.500  0.34
7 P 0.104 0.104 0.500  0.34
8 P 0.604 0.396 0.000  0.34

***

A plane-wave DFT calculation with PBE was carried out for a geometry-optimized KP structure.

Output
The volume is 28.3 Å³/atom. The value obtained for the formation energy is -0.46 eV per formula unit. The density of states at the Fermi level comes out at 13.0 states/eV/cell. For the total magnetization, the calculation gives 0.00 μB/cell. Its offset from the most stable computed form is 187.4 meV per atom.

a = 5.712 Å, b = 15.268 Å, c = 10.399 Å
α = 90.00°, β = 90.00°, γ = 90.00°
Element x y z (fractional)
1 K 0.000 0.000 0.164
2 K 0.000 0.000 0.836
3 K 0.250 0.750 0.086
4 K 0.250 0.750 0.414
5 K 0.000 0.500 0.664
6 K 0.000 0.500 0.336
7 K 0.250 0.250 0.586
8 K 0.250 0.250 0.914
9 K 0.500 0.000 0.664
10 K 0.500 0.000 0.336
11 K 0.750 0.750 0.586
12 K 0.750 0.750 0.914
13 K 0.500 0.500 0.164
14 K 0.500 0.500 0.836
15 K 0.750 0.250 0.086
16 K 0.750 0.250 0.414
17 P 0.000 0.432 0.000
18 P 0.000 0.568 0.000
19 P 0.250 0.318 0.250
20 P 0.250 0.182 0.250
21 P 0.000 0.932 0.500
22 P 0.000 0.068 0.500
23 P 0.250 0.818 0.750
24 P 0.250 0.682 0.750
25 P 0.500 0.432 0.500
26 P 0.500 0.568 0.500
27 P 0.750 0.318 0.750
28 P 0.750 0.182 0.750
29 P 0.500 0.932 0.000
30 P 0.500 0.068 0.000
31 P 0.750 0.818 0.250
32 P 0.750 0.682 0.250

***

A plane-wave DFT calculation with PBE was carried out for a geometry-optimized KP structure.

Output
The volume is 25.6 Å³/atom. The value obtained for the formation energy is 0.37 eV per formula unit. The density of states at the Fermi level comes out at 2.2 states/eV/cell. For the total magnetization, the calculation gives 0.00 μB/cell. Its offset from the most stable computed form is 606.3 meV per atom.

a = 6.196 Å, b = 2.663 Å, c = 6.750 Å
α = 66.59°, β = 90.00°, γ = 90.00°
Element x y z (fractional)
1 K 0.750 0.250 0.750
2 K 0.250 0.750 0.250
3 P 0.750 0.251 0.250
4 P 0.250 0.749 0.750

***

A plane-wave DFT calculation with PBE was carried out for a geometry-optimized KP5 structure.

Output
The volume is 20.6 Å³/atom. The value obtained for the formation energy is 0.70 eV per formula unit. The density of states at the Fermi level comes out at 1.3 states/eV/cell. For the total magnetization, the calculation gives 0.00 μB/cell. Its offset from the most stable computed form is 156.3 meV per atom.

a = 7.216 Å, b = 7.216 Å, c = 3.294 Å
α = 90.00°, β = 90.00°, γ = 133.98°
Element x y z (fractional)
1 K 0.500 0.500 0.000
2 P 0.244 0.756 0.500
3 P 0.130 0.870 0.000
4 P 0.000 0.000 0.500
5 P 0.870 0.130 0.000
6 P 0.756 0.244 0.500

***

Which of these has the highest volume? number 6